Here is LaTbEr2Tm2 after structural relaxation from Alexandria. Energies are from PBE.

```
12
Lattice="3.5315 0.0000 0.0000 0.0000 15.9610 0.0000 0.0000 0.0000 6.9107" Properties=species:S:1:pos:R:3 pbc="T T T"
Er 1.7658 13.4302 1.7348
Er 0.0000 5.4497 1.7206
Er 0.0000 10.5114 5.1902
Er 1.7658 2.5308 5.1759
La 0.0000 0.0000 0.0000
La 1.7658 7.9805 3.4554
Tm 0.0000 5.4725 5.1880
Tm 1.7658 2.5080 1.7326
Tm 0.0000 10.4885 1.7228
Tm 1.7658 13.4531 5.1781
Tb 1.7658 7.9805 0.0000
Tb 0.0000 0.0000 3.4554
```

Total moment = 0.00 μB per cell
Density = 8.3 Mg/m³
DOS(E_F) = 1.468 states/eV/atom
ΔE_f = 0.177 eV/atom